# 1
# TbPm2NdY (PBE-GGA, relaxed)
data_TbPm2NdY
_space_group_name_H-M_alt 'C m c m'
_space_group_IT_number 63
_space_group_name_Hall '-C 2c 2'
_cell_length_a 8.4279
_cell_length_b 11.7534
_cell_length_c 7.2526
_cell_angle_alpha 90.00
_cell_angle_beta 90.00
_cell_angle_gamma 90.00
loop_
_atom_site_label
_atom_site_fract_x
_atom_site_fract_y
_atom_site_fract_z
Tb1 0.0000 0.0191 0.2500
Pm1 0.1916 0.5000 0.0000
Nd1 0.0000 0.2814 0.2500
Y1 0.0000 0.2603 0.7500
# - energy (eV per atom) = -4.692
# - total magnetization (μB per atom) = 0.000
# - Fermi-level density of states (states/eV per cell) = 29.38



# 2
# UVGa2 (PBE-GGA, relaxed)
data_UVGa2
_space_group_name_H-M_alt 'R -3 m'
_space_group_IT_number 166
_space_group_name_Hall '-R 3 2"'
_cell_length_a 2.8534
_cell_length_b 2.8534
_cell_length_c 28.7827
_cell_angle_alpha 90.00
_cell_angle_beta 90.00
_cell_angle_gamma 120.00
loop_
_atom_site_label
_atom_site_fract_x
_atom_site_fract_y
_atom_site_fract_z
U1 0.0000 0.0000 0.0000
V1 0.0000 0.0000 0.5000
Ga1 0.0000 0.0000 0.2406
# - energy (eV per atom) = -6.661
# - total magnetization (μB per atom) = 0.180
# - Fermi-level density of states (states/eV per cell) = 13.33



# 3
# MnZn (PBE-GGA, relaxed)
data_MnZn
_space_group_name_H-M_alt 'P 42/m n m'
_space_group_IT_number 136
_space_group_name_Hall '-P 4n 2n'
_cell_length_a 4.9905
_cell_length_b 4.9905
_cell_length_c 5.1027
_cell_angle_alpha 90.00
_cell_angle_beta 90.00
_cell_angle_gamma 90.00
loop_
_atom_site_label
_atom_site_fract_x
_atom_site_fract_y
_atom_site_fract_z
Mn1 0.1901 0.1901 0.0000
Zn1 0.1885 0.1885 0.5000
# - energy (eV per atom) = -4.736
# - total magnetization (μB per atom) = 1.735
# - Fermi-level density of states (states/eV per cell) = 7.33



# 4
# Dy4Ho2ThSc (PBE-GGA, relaxed)
data_Dy4Ho2ThSc
_space_group_name_H-M_alt 'P 4/m m m'
_space_group_IT_number 123
_space_group_name_Hall '-P 4 2'
_cell_length_a 5.8195
_cell_length_b 5.8195
_cell_length_c 7.2692
_cell_angle_alpha 90.00
_cell_angle_beta 90.00
_cell_angle_gamma 90.00
loop_
_atom_site_label
_atom_site_fract_x
_atom_site_fract_y
_atom_site_fract_z
Dy1 0.0000 0.5000 0.2428
Ho1 0.0000 0.0000 0.0000
Ho2 0.5000 0.5000 0.5000
Th1 0.0000 0.0000 0.5000
Sc1 0.5000 0.5000 0.0000
# - energy (eV per atom) = -5.015
# - total magnetization (μB per atom) = 0.000
# - Fermi-level density of states (states/eV per cell) = 17.30